Ca2LaPb2 after structural relaxation. Source: Alexandria via LeMat-Bulk, functional PBE-GGA.

It has space group P2_1/m (No. 11), with a = 5.476 Å, b = 5.336 Å, c = 12.076 Å, α = 90.00°, β = 90.04° and γ = 90.00°. The asymmetric unit holds Ca at (0.250, 0.250, 0.006), Ca at (0.250, 0.250, 0.324), La at (0.251, 0.250, 0.671), Pb at (0.250, 0.750, 0.494) and Pb at (0.250, 0.750, 0.845).

SrNdCdAg after structural relaxation. Source: Alexandria via LeMat-Bulk, functional PBE-GGA.

It has space group P4mm (No. 99), with a = 3.894 Å, b = 3.894 Å, c = 7.806 Å, α = 90.00°, β = 90.00° and γ = 90.00°. The asymmetric unit holds Sr at (0.000, 0.000, 0.000), Nd at (0.000, 0.000, 0.515), Cd at (0.500, 0.500, 0.280) and Ag at (0.500, 0.500, 0.728).

no.,DFT formation energy (eV per atom)
1,-0.489
2,-0.291